Below is a relaxed structure of NbCrN2F, with properties calculated at the PBE with a Hubbard U level.

The calculated density is 4.67 g cm⁻³. The energy is -0.282 hartree per atom. For the density of states at the Fermi level, the calculation gives 2.650 states/eV/f.u.

It has space group P4/mmm (No. 123), with a = 4.0871 Å, b = 4.0871 Å, c = 4.0880 Å, α = 90.00°, β = 90.00° and γ = 90.00°. The asymmetric unit holds Nb at (0.0000, 0.0000, 0.0000), Cr at (0.5000, 0.5000, 0.5000), N at (0.0000, 0.5000, 0.0000) and F at (0.0000, 0.0000, 0.5000).